# In2Sn2I (GGA-PBE, relaxed)
data_In2Sn2I
_space_group_name_H-M_alt 'P 1'
_space_group_IT_number 1
_cell_length_a 8.802
_cell_length_b 8.802
_cell_length_c 3.953
_cell_angle_alpha 90.00
_cell_angle_beta 90.00
_cell_angle_gamma 90.00
loop_
_space_group_symop_operation_xyz
'x,y,z'
loop_
_atom_site_label
_atom_site_fract_x
_atom_site_fract_y
_atom_site_fract_z
In1 0.669 0.831 0.500
In2 0.831 0.331 0.500
In3 0.331 0.169 0.500
In4 0.169 0.669 0.500
I1 0.500 0.500 0.000
I2 0.000 0.000 0.000
Sn1 0.631 0.131 0.000
Sn2 0.869 0.631 0.000
Sn3 0.131 0.369 0.000
Sn4 0.369 0.869 0.000
# Formation energy without anion corrections in meV per atom: 16
# Relative energy among the computed polymorphs in eV per atom: 0.034
# M_tot in μB per atom: 0.0000
# N(E_F) in states/eV/f.u.: 2.77
# E in eV per atom: -2.991